No. 1
## Hg3Rh (GGA-PBE)

Data for a relaxed structure of Hg3Rh.

## Properties
Symmetry   P6_3/mmc, No. 194
Final energy   -1.846 eV per atom
Energy relative to the elements   0.218 eV/atom

a = 5.920 Å, b = 5.920 Å, c = 5.206 Å
α = 90.00°, β = 90.00°, γ = 120.00°
Fractional coordinates of all 8 atoms:
Hg 0.170 0.340 0.250
Hg 0.170 0.830 0.250
Hg 0.340 0.170 0.750
Hg 0.660 0.830 0.250
Hg 0.830 0.170 0.750
Hg 0.830 0.660 0.750
Rh 0.333 0.667 0.750
Rh 0.667 0.333 0.250

=====

No. 2
## HgRu2Rh (GGA-PBE)

Data for a relaxed structure of HgRu2Rh.

## Properties
Symmetry   R3m, No. 160
Final energy   -6.255 eV per atom
Energy relative to the elements   0.297 eV/atom

a = 2.818 Å, b = 2.818 Å, c = 27.348 Å
α = 90.00°, β = 90.00°, γ = 120.00°
Fractional coordinates of all 12 atoms:
Hg 0.000 0.000 0.000
Hg 0.333 0.667 0.667
Hg 0.667 0.333 0.333
Ru 0.000 0.000 0.499
Ru 0.000 0.000 0.758
Ru 0.333 0.667 0.166
Ru 0.333 0.667 0.424
Ru 0.667 0.333 0.091
Ru 0.667 0.333 0.832
Rh 0.000 0.000 0.244
Rh 0.333 0.667 0.911
Rh 0.667 0.333 0.578

=====

No. 3
## HgRu2Rh (GGA-PBE)

Data for a relaxed structure of HgRu2Rh.

## Properties
Symmetry   F-43m, No. 216
Final energy   -5.969 eV per atom
Energy relative to the elements   0.582 eV/atom

a = 6.351 Å, b = 6.351 Å, c = 6.351 Å
α = 90.00°, β = 90.00°, γ = 90.00°
Fractional coordinates of all 16 atoms:
Hg 0.000 0.000 0.000
Hg 0.000 0.500 0.500
Hg 0.500 0.000 0.500
Hg 0.500 0.500 0.000
Ru 0.000 0.000 0.500
Ru 0.000 0.500 0.000
Ru 0.250 0.250 0.250
Ru 0.250 0.750 0.750
Ru 0.500 0.000 0.000
Ru 0.500 0.500 0.500
Ru 0.750 0.250 0.750
Ru 0.750 0.750 0.250
Rh 0.250 0.250 0.750
Rh 0.250 0.750 0.250
Rh 0.750 0.250 0.250
Rh 0.750 0.750 0.750

=====

No. 4
## HgRuRh2 (GGA-PBE)

Data for a relaxed structure of HgRuRh2.

## Properties
Symmetry   Cm, No. 8
Final energy   -5.795 eV per atom
Energy relative to the elements   0.275 eV/atom

a = 9.224 Å, b = 2.816 Å, c = 4.916 Å
α = 90.00°, β = 100.25°, γ = 90.00°
Fractional coordinates of all 8 atoms:
Hg 0.000 0.000 0.000
Hg 0.500 0.500 0.000
Ru 0.259 0.500 0.294
Ru 0.759 0.000 0.294
Rh 0.242 0.000 0.743
Rh 0.497 0.000 0.493
Rh 0.742 0.500 0.743
Rh 0.997 0.500 0.493

=====

No. 5
## HgRu2Rh (GGA-PBE)

Data for a relaxed structure of HgRu2Rh.

## Properties
Symmetry   P4/mmm, No. 123
Final energy   -6.030 eV per atom
Energy relative to the elements   0.521 eV/atom

a = 3.909 Å, b = 3.909 Å, c = 4.097 Å
α = 90.00°, β = 90.00°, γ = 90.00°
Fractional coordinates of all 4 atoms:
Hg 0.000 0.000 0.000
Ru 0.000 0.500 0.500
Ru 0.500 0.000 0.500
Rh 0.500 0.500 0.000

=====

No. 6
## HgRu2Rh (GGA-PBE)

Data for a relaxed structure of HgRu2Rh.

## Properties
Symmetry   P2/m, No. 10
Final energy   -5.961 eV per atom
Energy relative to the elements   0.590 eV/atom

a = 2.792 Å, b = 4.730 Å, c = 4.862 Å
α = 90.00°, β = 93.92°, γ = 90.00°
Fractional coordinates of all 4 atoms:
Hg 0.000 0.000 0.000
Ru 0.287 0.500 0.732
Ru 0.713 0.500 0.268
Rh 0.500 0.000 0.500

=====

No. 7
## HgRuRh2 (GGA-PBE)

Data for a relaxed structure of HgRuRh2.

## Properties
Symmetry   P4/mmm, No. 123
Final energy   -5.683 eV per atom
Energy relative to the elements   0.387 eV/atom

a = 4.020 Å, b = 4.020 Å, c = 3.889 Å
α = 90.00°, β = 90.00°, γ = 90.00°
Fractional coordinates of all 4 atoms:
Hg 0.000 0.000 0.000
Ru 0.500 0.500 0.000
Rh 0.000 0.500 0.500
Rh 0.500 0.000 0.500

=====

No. 8
## HgRu2Rh (GGA-PBE)

Data for a relaxed structure of HgRu2Rh.

## Properties
Symmetry   I-42d, No. 122
Final energy   -5.670 eV per atom
Energy relative to the elements   0.881 eV/atom

a = 7.264 Å, b = 7.264 Å, c = 5.298 Å
α = 90.00°, β = 90.00°, γ = 90.00°
Fractional coordinates of all 16 atoms:
Hg 0.000 0.000 0.000
Hg 0.000 0.500 0.250
Hg 0.500 0.000 0.750
Hg 0.500 0.500 0.500
Ru 0.209 0.750 0.625
Ru 0.250 0.209 0.375
Ru 0.250 0.291 0.875
Ru 0.291 0.750 0.125
Ru 0.709 0.250 0.125
Ru 0.750 0.709 0.875
Ru 0.750 0.791 0.375
Ru 0.791 0.250 0.625
Rh 0.000 0.000 0.500
Rh 0.000 0.500 0.750
Rh 0.500 0.000 0.250
Rh 0.500 0.500 0.000